## Ge2As5Pd12 (PBE-GGA)

Data for an optimized crystal structure of Ge2As5Pd12.

Summary:
Uncorrected energy (eV per atom): -5.26
Formation energy (eV/atom): -0.271
D(E_F) (states/eV per cell): 9.31

a b c (Å): 7.7111 7.7111 8.1969
angles (deg): 104.00 104.00 45.05
Fractional coordinates of all 19 atoms:
Ge  0.2460  0.7540  0.0000
Ge  0.7540  0.2460  0.0000
As  0.0000  0.0000  0.5000
As  0.2892  0.2892  0.6246
As  0.3338  0.3338  0.1516
As  0.6662  0.6662  0.8484
As  0.7108  0.7108  0.3754
Pd  0.0664  0.0664  0.2586
Pd  0.0672  0.5568  0.8844
Pd  0.1132  0.6029  0.4197
Pd  0.3971  0.8868  0.5803
Pd  0.4432  0.9328  0.1156
Pd  0.4809  0.4809  0.7318
Pd  0.5191  0.5191  0.2682
Pd  0.5568  0.0672  0.8844
Pd  0.6029  0.1132  0.4197
Pd  0.8868  0.3971  0.5803
Pd  0.9328  0.4432  0.1156
Pd  0.9336  0.9336  0.7414

=====

## CuH6IN2 (PBE-GGA)

Data for an optimized crystal structure of CuH6IN2.

Summary:
Uncorrected energy (eV per atom): -4.61
D(E_F) (states/eV per cell): 0.00

a b c (Å): 7.4375 7.4375 5.7016
angles (deg): 110.96 110.96 99.61
Fractional coordinates of all 20 atoms:
Cu  0.0795  0.9205  0.7500
Cu  0.9205  0.0795  0.2500
H  0.1490  0.4042  0.6826
H  0.1657  0.4196  0.4088
H  0.2910  0.2954  0.5553
H  0.2954  0.2910  0.0553
H  0.4042  0.1490  0.1826
H  0.4196  0.1657  0.9088
H  0.5804  0.8343  0.0912
H  0.5958  0.8510  0.8174
H  0.7046  0.7090  0.9447
H  0.7090  0.7046  0.4447
H  0.8343  0.5804  0.5912
H  0.8510  0.5958  0.3174
I  0.3063  0.6937  0.2500
I  0.6937  0.3063  0.7500
N  0.1527  0.3208  0.4965
N  0.3208  0.1527  0.9965
N  0.6792  0.8473  0.0035
N  0.8473  0.6792  0.5035

=====

## ZrBeTlB2 (PBE-GGA)

Data for an optimized crystal structure of ZrBeTlB2.

Summary:
Uncorrected energy (eV per atom): -3.75
Formation energy (eV/atom): 1.845
D(E_F) (states/eV per cell): 2.38

a b c (Å): 4.4669 4.4669 4.2868
angles (deg): 90.00 90.00 90.00
Fractional coordinates of all 5 atoms:
Zr  0.0000  0.0000  0.0000
Be  0.5000  0.5000  0.0000
Tl  0.5000  0.5000  0.5000
B  0.0000  0.5000  0.5000
B  0.5000  0.0000  0.5000

=====

## Ho3RuSe (PBE-GGA)

Data for an optimized crystal structure of Ho3RuSe.

Summary:
Uncorrected energy (eV per atom): -6.11
D(E_F) (states/eV per cell): 6.93
Raw formation energy (kJ per mole of atoms): -78.1

a b c (Å): 7.7081 7.7081 9.9410
angles (deg): 116.83 116.83 30.03
Fractional coordinates of all 10 atoms:
Ho  0.0754  0.0754  0.3026
Ho  0.3399  0.3399  0.3608
Ho  0.3577  0.3577  0.9419
Ho  0.6423  0.6423  0.0581
Ho  0.6601  0.6601  0.6392
Ho  0.9246  0.9246  0.6974
Ru  0.2864  0.2864  0.6177
Ru  0.7136  0.7136  0.3823
Se  0.1434  0.1434  0.8512
Se  0.8566  0.8566  0.1488

=====

## CaCoGe2Ir (PBE-GGA)

Data for an optimized crystal structure of CaCoGe2Ir.

Summary:
Uncorrected energy (eV per atom): -6.00
Formation energy (eV/atom): -0.559
D(E_F) (states/eV per cell): 1.71

a b c (Å): 5.9795 5.9795 5.9795
angles (deg): 140.06 140.06 57.77
Fractional coordinates of all 5 atoms:
Ca  0.0000  0.0000  0.0000
Co  0.7500  0.2500  0.5000
Ge  0.3736  0.3736  0.0000
Ge  0.6264  0.6264  0.0000
Ir  0.2500  0.7500  0.5000

=====

## Rb2CrWI6 (PBE-GGA)

Data for an optimized crystal structure of Rb2CrWI6.

Summary:
Uncorrected energy (eV per atom): -3.83
D(E_F) (states/eV per cell): 0.62
Raw formation energy (kJ per mole of atoms): -43.6

a b c (Å): 8.2122 8.2122 8.2122
angles (deg): 120.06 120.06 89.89
Fractional coordinates of all 10 atoms:
Rb  0.2500  0.7500  0.5000
Rb  0.7500  0.2500  0.5000
Cr  0.0000  0.0000  0.0000
W  0.5000  0.5000  0.0000
I  0.2550  0.2550  0.0000
I  0.2547  0.2547  0.5093
I  0.2547  0.7453  0.0000
I  0.7453  0.2547  0.0000
I  0.7450  0.7450  0.0000
I  0.7453  0.7453  0.4907

=====

## LaMn2Ni (PBE-GGA)

Data for an optimized crystal structure of LaMn2Ni.

Summary:
Uncorrected energy (eV per atom): -7.04
Formation energy (eV/atom): 0.225
D(E_F) (states/eV per cell): 2.53

a b c (Å): 3.1208 3.1208 7.3599
angles (deg): 90.00 90.00 90.00
Fractional coordinates of all 4 atoms:
La  0.0000  0.0000  0.0000
Mn  0.5000  0.5000  0.3184
Mn  0.5000  0.5000  0.6816
Ni  0.0000  0.0000  0.5000

=====

## KMg6Cd6 (PBE-GGA)

Data for an optimized crystal structure of KMg6Cd6.

Summary:
Uncorrected energy (eV per atom): -1.30
Formation energy (eV/atom): -0.061
D(E_F) (states/eV per cell): 7.06

a b c (Å): 7.8607 7.8607 7.8607
angles (deg): 135.67 98.84 97.53
Fractional coordinates of all 13 atoms:
K  0.0000  0.0000  0.0000
Mg  0.2152  0.7152  0.5000
Mg  0.3533  0.0000  0.3533
Mg  0.3538  0.3538  0.0000
Mg  0.6462  0.6462  0.0000
Mg  0.6467  0.0000  0.6467
Mg  0.7848  0.2848  0.5000
Cd  0.0000  0.0000  0.5000
Cd  0.0000  0.5000  0.0000
Cd  0.2235  0.5000  0.7235
Cd  0.5000  0.0000  0.0000
Cd  0.5000  0.5000  0.5000
Cd  0.7765  0.5000  0.2765